VPdAu4 after structural relaxation, computed with GGA-PBE.

a = 3.151 Å, b = 3.762 Å, c = 8.641 Å
α = 90.00°, β = 90.00°, γ = 90.00°
Space group Pmmm (No. 47)
Asymmetric unit:
V 0.000 0.000 0.000 [1 per cell]
Pd 0.500 0.500 0.500 [1 per cell]
Au 0.000 0.000 0.332 [2 per cell]
Au 0.500 0.500 0.161 [2 per cell]

***

VPd2Au after structural relaxation, computed with GGA-PBE.

a = 4.008 Å, b = 4.008 Å, c = 3.898 Å
α = 90.00°, β = 90.00°, γ = 90.00°
Space group P4/mmm (No. 123)
Asymmetric unit:
V 0.000 0.000 0.000 [1 per cell]
Pd 0.000 0.500 0.500 [2 per cell]
Au 0.500 0.500 0.000 [1 per cell]

***

Quick rundown of M_tot, same order as above: 2.3, 2.2 μB per formula unit
Quick rundown of E_form, same order as above: -0.029, -0.154 eV per atom